1.
This record from the Alexandria database describes a geometry-optimized Tl7InPb3 structure. The functional is GGA-PBE.

abc: 6.9431 6.9431 8.4153
angles: 90.00 90.00 120.00
Space group P3m1 (No. 156)
Asymmetric unit:
Tl (0.0000, 0.0000, 0.0000) (multiplicity 1)
Tl (0.0085, 0.5042, 0.9778) (multiplicity 3)
Tl (0.1716, 0.3432, 0.3338) (multiplicity 3)
In (0.6667, 0.3333, 0.3108) (multiplicity 1)
Pb (0.3370, 0.1685, 0.6537) (multiplicity 3)

* formation enthalpy at 0 K: 0.05 eV per atom
* calculated density: 10243 kg/m3
* excess energy over the best structure of this formula in the dataset: 0.13 eV per formula unit



2.
This record from the Alexandria database describes a geometry-optimized BeAg2Cl structure. The functional is GGA-PBE.

abc: 6.779 3.708 6.091
angles: 90.00 102.50 90.00
Space group C2/m (No. 12)
Asymmetric unit:
Be (0.000, 0.000, 0.000) (multiplicity 2)
Ag (0.208, 0.500, 0.166) (multiplicity 4)
Cl (0.000, 0.500, 0.500) (multiplicity 2)

* calculated density: 5781 kg/m3
* excess energy over the best structure of this formula in the dataset: 0.94 eV per formula unit
* formation energy without anion corrections: 0.120 eV/atom



3.
This record from the Alexandria database describes a geometry-optimized Ca2CrSe structure. The functional is GGA-PBE.

abc: 5.260 5.279 8.071
angles: 90.00 90.00 90.00
Space group Cmm2 (No. 35)
Asymmetric unit:
Ca (0.000, 0.000, 0.000) (multiplicity 2)
Ca (0.000, 0.500, 0.386) (multiplicity 2)
Cr (0.000, 0.000, 0.621) (multiplicity 2)
Se (0.000, 0.500, 0.793) (multiplicity 2)

* calculated density: 3128 kg/m3
* formation energy without anion corrections: -0.205 eV/atom



4.
This record from the Alexandria database describes a geometry-optimized CoPHBr structure. The functional is GGA-PBE.

abc: 2.647 3.236 7.508
angles: 90.00 90.00 90.00
Space group Pmm2 (No. 25)
Asymmetric unit:
Co (0.000, 0.000, 0.000) (multiplicity 1)
P (0.500, 0.500, 0.114) (multiplicity 1)
H (0.500, 0.500, 0.304) (multiplicity 1)
Br (0.000, 0.000, 0.674) (multiplicity 1)

* calculated density: 4411 kg/m3
* excess energy over the best structure of this formula in the dataset: 0.60 eV per formula unit



5.
This record from the Alexandria database describes a geometry-optimized Dy3Y3Sc2 structure. The functional is GGA-PBE.

abc: 8.9360 8.9360 10.9441
angles: 90.00 90.00 120.00
Space group R32 (No. 155, hexagonal axes)
Asymmetric unit:
Dy (0.0000, 0.7500, 0.0000) (multiplicity 9)
Y (0.0000, 0.2498, 0.5000) (multiplicity 9)
Sc (0.0000, 0.0000, 0.2496) (multiplicity 6)

* formation enthalpy at 0 K: 0.24 eV per atom
* calculated density: 5556 kg/m3
* excess energy over the best structure of this formula in the dataset: 1.57 eV per formula unit



6.
This record from the Alexandria database describes a geometry-optimized La5In2Si2 structure. The functional is GGA-PBE.

abc: 16.726 7.997 8.095
angles: 90.00 90.00 90.00
Space group Cmce (No. 64)
Asymmetric unit:
La (0.000, 0.000, 0.000) (multiplicity 4)
La (0.126, 0.193, 0.316) (multiplicity 16)
In (0.224, 0.000, 0.000) (multiplicity 8)
Si (0.000, 0.107, 0.611) (multiplicity 8)

* calculated density: 6013 kg/m3
* formation energy without anion corrections: -0.545 eV/atom



7.
This record from the Alexandria database describes a geometry-optimized Nd2ErPt2 structure. The functional is GGA-PBE.

abc: 7.818 7.818 4.134
angles: 90.00 90.00 90.00
Space group P4/mbm (No. 127)
Asymmetric unit:
Nd (0.164, 0.336, 0.000) (multiplicity 4)
Er (0.000, 0.000, 0.500) (multiplicity 2)
Pt (0.139, 0.639, 0.500) (multiplicity 4)

* formation enthalpy at 0 K: -0.98 eV per atom
* calculated density: 11119 kg/m3
* excess energy over the best structure of this formula in the dataset: 0.00 eV per formula unit



8.
This record from the Alexandria database describes a geometry-optimized MnAgH2 structure. The functional is GGA-PBE.

abc: 4.241 4.241 8.765
angles: 90.00 90.00 90.00
Space group I-42d (No. 122)
Asymmetric unit:
Mn (0.000, 0.000, 0.000) (multiplicity 4)
Ag (0.000, 0.000, 0.500) (multiplicity 4)
H (0.180, 0.250, 0.125) (multiplicity 8)

* calculated density: 6944 kg/m3
* excess energy over the best structure of this formula in the dataset: 0.50 eV per formula unit